A plane-wave DFT calculation with PBE was carried out for a relaxed LiCa3Ti crystal.

Structure (CIF):
```
data_LiCa3Ti
_chemical_formula_sum 'Li1 Ca3 Ti1'
_space_group_name_H-M_alt 'P m -3 m'
_space_group_IT_number 221
_space_group_name_Hall '-P 4 2 3'
_cell_length_a 5.566
_cell_length_b 5.566
_cell_length_c 5.566
_cell_angle_alpha 90.00
_cell_angle_beta 90.00
_cell_angle_gamma 90.00
loop_
_atom_site_label
_atom_site_fract_x
_atom_site_fract_y
_atom_site_fract_z
_atom_site_occupancy
Li1 0.000 0.000 0.000 1
Ca1 0.000 0.000 0.500 1
Ti1 0.500 0.500 0.500 1
```

For the energy relative to the elements, the calculation gives 0.808 eV/atom. The calculation puts the total energy at -2.35 eV/atom. The energy above the most stable polymorph in this dataset is 0.106 eV/atom.